! Ac3Nd2Au2 | the Alexandria database | GGA-PBE | relaxed; values from VASP
! Total magnetization, μB/f.u.: 0.00
! Density of states at the Fermi level, states/eV/cell: 7.66
! Calculated formation energy, eV per atom: -0.430
&SYSTEM
  ibrav = 0, nat = 7, ntyp = 3
/
ATOMIC_SPECIES
Ac 227.00 Ac.upf
Nd 144.24 Nd.upf
Au 196.97 Au.upf
CELL_PARAMETERS angstrom
3.934 -0.001 -0.882
-2.434 6.431 -1.642
0.063 0.327 9.488
ATOMIC_POSITIONS crystal
Ac 0.174 0.784 0.561
Nd 0.656 0.493 0.819
Au 0.950 0.123 0.776
Au 0.050 0.877 0.224
Nd 0.344 0.507 0.181
Ac 0.500 0.000 0.000
Ac 0.826 0.216 0.439


! RuRh2Cl | the Alexandria database | GGA-PBE | relaxed; values from VASP
! Total magnetization, μB/f.u.: 0.00
! Density of states at the Fermi level, states/eV/cell: 5.23
! ΔE_f (raw), eV/f.u.: 1.30
! E above lowest polymorph, meV per atom: 30
&SYSTEM
  ibrav = 0, nat = 4, ntyp = 3
/
ATOMIC_SPECIES
Rh 102.91 Rh.upf
Ru 101.07 Ru.upf
Cl 35.45 Cl.upf
CELL_PARAMETERS angstrom
-1.060 2.546 -0.588
-1.022 -0.988 -2.436
-6.412 -1.874 3.450
ATOMIC_POSITIONS crystal
Rh 0.000 0.000 0.488
Ru 0.500 0.500 0.250
Rh 0.000 0.000 0.012
Cl 0.500 0.500 0.750


! LaMnBe2 | the Alexandria database | GGA-PBE | relaxed; values from VASP
! Total magnetization, μB/f.u.: 2.56
! Density of states at the Fermi level, states/eV/cell: 3.72
! Calculated formation energy, eV per atom: 0.096
! E above lowest polymorph, meV per atom: 0
&SYSTEM
  ibrav = 0, nat = 4, ntyp = 3
/
ATOMIC_SPECIES
Be 9.01 Be.upf
La 138.91 La.upf
Mn 54.94 Mn.upf
CELL_PARAMETERS angstrom
3.897 -0.029 0.129
1.973 3.360 0.129
1.764 1.001 5.297
ATOMIC_POSITIONS crystal
Be 0.689 0.689 0.934
La 0.498 0.498 0.503
Be 0.007 0.007 0.981
Mn 0.306 0.306 0.082


! In2Au2Cl | the Alexandria database | GGA-PBE | relaxed; values from VASP
! Total magnetization, μB/f.u.: 0.00
! Density of states at the Fermi level, states/eV/cell: 3.59
! ΔE_f (raw), eV/f.u.: -1.17
! E above lowest polymorph, meV per atom: 47
&SYSTEM
  ibrav = 0, nat = 10, ntyp = 3
/
ATOMIC_SPECIES
Au 196.97 Au.upf
Cl 35.45 Cl.upf
In 114.82 In.upf
CELL_PARAMETERS angstrom
8.144 0.000 0.000
0.000 8.144 0.000
0.000 0.000 3.446
ATOMIC_POSITIONS crystal
Au 0.120 0.380 0.000
Cl 0.000 0.000 0.000
Cl 0.500 0.500 0.000
Au 0.880 0.620 0.000
In 0.181 0.681 0.500
Au 0.620 0.120 0.000
In 0.819 0.319 0.500
In 0.681 0.819 0.500
Au 0.380 0.880 0.000
In 0.319 0.181 0.500


! TlCo2AgCl6 | the Alexandria database | GGA-PBE | relaxed; values from VASP
! Total magnetization, μB/f.u.: 6.00
! ΔE_f (raw), eV/f.u.: -6.32
&SYSTEM
  ibrav = 0, nat = 20, ntyp = 4
/
ATOMIC_SPECIES
Cl 35.45 Cl.upf
Co 58.93 Co.upf
Ag 107.87 Ag.upf
Tl 204.38 Tl.upf
CELL_PARAMETERS angstrom
-8.247 -2.243 -2.538
0.711 -8.624 2.143
-1.178 2.982 6.320
ATOMIC_POSITIONS crystal
Cl 0.106 0.181 0.520
Co 0.701 0.874 0.232
Ag 0.397 0.603 0.750
Co 0.126 0.299 0.268
Ag 0.603 0.397 0.250
Cl 0.469 0.308 0.864
Cl 0.308 0.469 0.364
Cl 0.531 0.692 0.136
Cl 0.893 0.406 0.173
Cl 0.181 0.106 0.020
Tl 0.800 0.200 0.750
Cl 0.406 0.893 0.673
Tl 0.200 0.800 0.250
Cl 0.894 0.819 0.480
Cl 0.819 0.894 0.980
Cl 0.692 0.531 0.636
Co 0.299 0.126 0.768
Cl 0.107 0.594 0.827
Co 0.874 0.701 0.732
Cl 0.594 0.107 0.327


! NdThGa | the Alexandria database | GGA-PBE | relaxed; values from VASP
! Total magnetization, μB/f.u.: 0.00
! Density of states at the Fermi level, states/eV/cell: 3.20
! Calculated formation energy, eV per atom: -0.241
! E above lowest polymorph, meV per atom: 0
&SYSTEM
  ibrav = 0, nat = 3, ntyp = 3
/
ATOMIC_SPECIES
Th 232.04 Th.upf
Nd 144.24 Nd.upf
Ga 69.72 Ga.upf
CELL_PARAMETERS angstrom
3.678 0.000 0.000
0.000 3.678 0.000
-1.839 -1.839 6.321
ATOMIC_POSITIONS crystal
Th 0.313 0.313 0.626
Nd 0.020 0.020 0.041
Ga 0.667 0.667 0.333


! NaTePb | the Alexandria database | GGA-PBE | relaxed; values from VASP
! Total magnetization, μB/f.u.: 0.00
! Density of states at the Fermi level, states/eV/cell: 1.76
! ΔE_f (raw), eV/f.u.: -1.27
&SYSTEM
  ibrav = 0, nat = 6, ntyp = 3
/
ATOMIC_SPECIES
Na 22.99 Na.upf
Pb 207.20 Pb.upf
Te 127.60 Te.upf
CELL_PARAMETERS angstrom
-0.058 4.887 1.895
-1.753 1.915 -4.991
-5.198 -2.030 5.073
ATOMIC_POSITIONS crystal
Na 0.750 0.256 0.980
Na 0.250 0.744 0.020
Pb 0.750 0.083 0.405
Te 0.250 0.381 0.235
Pb 0.250 0.917 0.595
Te 0.750 0.619 0.765


! Tb2Tm5Th3 | the Alexandria database | GGA-PBE | relaxed; values from VASP
! Total magnetization, μB/f.u.: 0.00
! Density of states at the Fermi level, states/eV/cell: 28.41
! Calculated formation energy, eV per atom: 0.233
&SYSTEM
  ibrav = 0, nat = 20, ntyp = 3
/
ATOMIC_SPECIES
Tb 158.93 Tb.upf
Tm 168.93 Tm.upf
Th 232.04 Th.upf
CELL_PARAMETERS angstrom
-6.963 -1.157 5.563
-5.054 -6.621 -3.367
10.408 -1.680 3.250
ATOMIC_POSITIONS crystal
Tb 0.474 0.726 0.740
Tm 0.132 0.382 0.257
Th 0.772 0.022 0.044
Th 0.228 0.978 0.956
Tm 0.030 0.780 0.560
Tm 0.375 0.124 0.743
Th 0.262 0.518 0.751
Th 0.738 0.482 0.249
Tm 0.625 0.876 0.257
Tm 0.868 0.618 0.743
Th 0.011 0.767 0.249
Tm 0.531 0.281 0.562
Tm 0.720 0.470 0.940
Tm 0.970 0.220 0.440
Tb 0.766 0.014 0.740
Tb 0.234 0.986 0.260
Tm 0.280 0.530 0.060
Th 0.989 0.233 0.751
Tm 0.469 0.719 0.438
Tb 0.526 0.274 0.260


! TmNiH | the Alexandria database | GGA-PBE | relaxed; values from VASP
! Total magnetization, μB/f.u.: 0.00
! Density of states at the Fermi level, states/eV/cell: 6.84
! E above lowest polymorph, meV per atom: 0
&SYSTEM
  ibrav = 0, nat = 12, ntyp = 3
/
ATOMIC_SPECIES
H 1.01 H.upf
Tm 168.93 Tm.upf
Ni 58.69 Ni.upf
CELL_PARAMETERS angstrom
4.987 0.000 0.000
0.000 7.227 0.248
0.000 -0.157 4.452
ATOMIC_POSITIONS crystal
H 0.750 0.999 0.500
Tm 0.504 0.195 0.750
Tm 0.004 0.805 0.750
H 0.250 0.001 0.500
Ni 0.603 0.559 0.750
H 0.750 0.999 0.000
Ni 0.897 0.559 0.250
Ni 0.103 0.441 0.750
Tm 0.496 0.805 0.250
Ni 0.397 0.441 0.250
H 0.250 0.001 0.000
Tm 0.996 0.195 0.250


! NbGa2Mo | the Alexandria database | GGA-PBE | relaxed; values from VASP
! Total magnetization, μB/f.u.: 0.00
! Density of states at the Fermi level, states/eV/cell: 2.60
! Calculated formation energy, eV per atom: -0.059
! E above lowest polymorph, meV per atom: 7
&SYSTEM
  ibrav = 0, nat = 4, ntyp = 3
/
ATOMIC_SPECIES
Ga 69.72 Ga.upf
Mo 95.94 Mo.upf
Nb 92.91 Nb.upf
CELL_PARAMETERS angstrom
2.917 0.000 0.000
1.459 2.526 0.000
1.459 0.842 8.963
ATOMIC_POSITIONS crystal
Ga 0.248 0.248 0.256
Ga 0.086 0.086 0.743
Mo 0.500 0.500 0.499
Nb 0.666 0.666 0.002


! Pr2Dy4Ho2Er | the Alexandria database | GGA-PBE | relaxed; values from VASP
! Total magnetization, μB/f.u.: 0.00
! Density of states at the Fermi level, states/eV/cell: 11.73
! Calculated formation energy, eV per atom: 0.019
&SYSTEM
  ibrav = 0, nat = 9, ntyp = 4
/
ATOMIC_SPECIES
Dy 162.50 Dy.upf
Er 167.26 Er.upf
Ho 164.93 Ho.upf
Pr 140.91 Pr.upf
CELL_PARAMETERS angstrom
-3.003 6.641 3.256
-1.566 0.481 9.305
5.581 -1.085 -2.431
ATOMIC_POSITIONS crystal
Dy 0.556 0.780 0.447
Er 0.000 0.000 0.000
Ho 0.109 0.556 0.888
Dy 0.222 0.111 0.779
Pr 0.332 0.669 0.670
Dy 0.444 0.220 0.553
Pr 0.668 0.331 0.330
Dy 0.778 0.889 0.221
Ho 0.891 0.444 0.112


! PmCo13 | the Alexandria database | GGA-PBE | relaxed; values from VASP
! Total magnetization, μB/f.u.: 20.38
! Density of states at the Fermi level, states/eV/cell: 34.42
! Calculated formation energy, eV per atom: -0.037
&SYSTEM
  ibrav = 0, nat = 28, ntyp = 2
/
ATOMIC_SPECIES
Co 58.93 Co.upf
Pm 145.00 Pm.upf
CELL_PARAMETERS angstrom
3.399 -7.132 0.776
2.747 -3.805 -6.403
7.823 -0.808 -1.085
ATOMIC_POSITIONS crystal
Co 0.559 0.204 0.441
Co 0.559 0.796 0.204
Co 0.204 0.796 0.441
Co 0.000 0.000 0.000
Co 0.059 0.704 0.296
Co 0.500 0.500 0.500
Co 0.296 0.941 0.059
Co 0.296 0.059 0.704
Pm 0.750 0.750 0.750
Co 0.059 0.941 0.704
Co 0.704 0.296 0.059
Co 0.559 0.441 0.796
Co 0.441 0.796 0.559
Co 0.941 0.704 0.059
Co 0.204 0.441 0.559
Co 0.704 0.941 0.296
Co 0.941 0.296 0.704
Co 0.441 0.204 0.796
Co 0.941 0.059 0.296
Pm 0.250 0.250 0.250
Co 0.296 0.704 0.941
Co 0.441 0.559 0.204
Co 0.204 0.559 0.796
Co 0.796 0.559 0.441
Co 0.796 0.204 0.559
Co 0.704 0.059 0.941
Co 0.796 0.441 0.204
Co 0.059 0.296 0.941